The following is a GGA-PBE calculation of a relaxed structure of NaMnHgCl6, from the Alexandria database.

```
NaMnHgCl6
1.0
6.6366 0.0000 0.0000
-3.3183 5.7475 0.0000
0.0000 0.0000 12.2353
Na Mn Hg Cl
2 2 2 12
direct
0.0000 0.0000 0.0000 Na
0.0000 0.0000 0.5000 Na
0.3333 0.6667 0.2500 Mn
0.6667 0.3333 0.7500 Mn
0.3333 0.6667 0.7500 Hg
0.6667 0.3333 0.2500 Hg
0.0352 0.3784 0.1349 Cl
0.0352 0.6568 0.3651 Cl
0.3432 0.3784 0.3651 Cl
0.3432 0.9648 0.1349 Cl
0.3784 0.0352 0.6349 Cl
0.3784 0.3432 0.8651 Cl
0.6216 0.6568 0.1349 Cl
0.6216 0.9648 0.3651 Cl
0.6568 0.0352 0.8651 Cl
0.6568 0.6216 0.6349 Cl
0.9648 0.3432 0.6349 Cl
0.9648 0.6216 0.8651 Cl
```

E_form (uncorrected) = -0.982 eV/atom
Crystal system = trigonal
Space group = No. 163

---

The following is a GGA-PBE calculation of a relaxed structure of NaMnHg2Cl8, from the Alexandria database.

```
NaMnHg2Cl8
1.0
6.6242 0.0000 0.0000
-1.5678 6.7892 0.0000
-0.5473 -2.2598 7.8221
Na Mn Hg Cl
1 1 2 8
direct
0.0000 0.0000 0.0000 Na
0.0000 0.0000 0.5000 Mn
0.4780 0.7184 0.1973 Hg
0.5220 0.2816 0.8027 Hg
0.1222 0.7736 0.2184 Cl
0.1657 0.8664 0.6764 Cl
0.2932 0.2700 0.5337 Cl
0.3938 0.2839 0.0859 Cl
0.6062 0.7161 0.9141 Cl
0.7068 0.7300 0.4663 Cl
0.8343 0.1336 0.3236 Cl
0.8778 0.2264 0.7816 Cl
```

E_form (uncorrected) = -0.904 eV/atom
Crystal system = triclinic
Space group = No. 2

---

The following is a GGA-PBE calculation of a relaxed structure of Na2MnHgCl6, from the Alexandria database.

```
Na2MnHgCl6
1.0
6.7053 0.0000 0.0000
0.0000 7.1475 0.0000
-6.6825 0.0000 9.9530
Na Mn Hg Cl
4 2 2 12
direct
0.2194 0.0886 0.2502 Na
0.2194 0.4114 0.7502 Na
0.7806 0.5886 0.2498 Na
0.7806 0.9114 0.7498 Na
0.5000 0.0000 0.0000 Mn
0.5000 0.5000 0.5000 Mn
0.0000 0.0000 0.5000 Hg
0.0000 0.5000 0.0000 Hg
0.1310 0.1791 0.9336 Cl
0.1310 0.3209 0.4336 Cl
0.2546 0.6962 0.9311 Cl
0.2546 0.8038 0.4311 Cl
0.3966 0.0443 0.7624 Cl
0.3966 0.4557 0.2624 Cl
0.6034 0.5443 0.7376 Cl
0.6034 0.9557 0.2376 Cl
0.7454 0.1962 0.5689 Cl
0.7454 0.3038 0.0689 Cl
0.8690 0.6791 0.5664 Cl
0.8690 0.8209 0.0664 Cl
```

E_form (uncorrected) = -1.197 eV/atom
Crystal system = monoclinic
Space group = No. 14

---

The following is a GGA-PBE calculation of a relaxed structure of MnHgPCl2, from the Alexandria database.

```
MnHgPCl2
1.0
5.2417 0.0000 0.0000
0.0000 5.2417 0.0000
0.0000 0.0000 5.1265
Mn Hg P Cl
1 1 1 2
direct
0.0000 0.0000 0.0000 Mn
0.5000 0.5000 0.5000 Hg
0.5000 0.5000 0.0000 P
0.0000 0.5000 0.5000 Cl
0.5000 0.0000 0.5000 Cl
```

Offset from the most stable computed form = 693 meV/atom
E_form (uncorrected) = 0.591 eV/atom
Crystal system = tetragonal
Space group = No. 123